A relaxed Mg2Co5TcB2 crystal. Source: the Alexandria database, functional PBE.

Properties
- Calculated volume: 222 Å³ per cell
- DFT formation energy: -0.15 eV/atom

The structure in CIF format:
```
data_Mg2Co5TcB2
_cell_length_a 8.970
_cell_length_b 8.970
_cell_length_c 2.755
_cell_angle_alpha 90.00
_cell_angle_beta 90.00
_cell_angle_gamma 90.00
_space_group_name_H-M_alt 'P 4/m b m'
_space_group_IT_number 127
_space_group_name_Hall '-P 4 2ab'
loop_
_atom_site_label
_atom_site_fract_x
_atom_site_fract_y
_atom_site_fract_z
_atom_site_occupancy
Mg1 0.178 0.322 0.000 1
Co1 0.000 0.500 0.500 1
Co2 0.068 0.775 0.500 1
Tc1 0.000 0.000 0.000 1
B1 0.119 0.619 0.000 1
```